PrSc3Cu4, relaxed, DFT PBE; E_form = -0.201 eV/atom; density of states at the Fermi level = 12.01 states/eV per cell; V = 18.9 A^3/atom
1.0
-0.283 2.829 3.788
-6.137 -2.421 1.350
3.860 -6.794 5.362
Pr Sc Cu
2 6 8
direct
0.000 0.500 0.000
0.000 0.500 0.500
0.000 0.000 0.000
0.000 0.000 0.500
0.503 0.000 0.750
0.497 0.000 0.250
0.501 0.500 0.750
0.499 0.500 0.250
0.500 0.781 0.000
0.500 0.781 0.500
0.500 0.219 0.000
0.500 0.219 0.500
0.005 0.780 0.750
0.995 0.780 0.250
0.995 0.220 0.250
0.005 0.220 0.750